BaZnGe2 (PBE, relaxed); calculated density = 4.93 Mg/m³; formation energy from the elements = -0.239 eV/atom; total magnetic moment = 0.00 μB per cell; density of states at the Fermi level = 5.99 states/eV per cell
1.0
5.241 0.000 0.000
0.000 5.241 0.000
0.000 0.000 17.084
Ba Zn Ge
4 4 8
Direct
0.000 0.250 0.375
0.000 0.750 0.625
0.500 0.250 0.125
0.500 0.750 0.875
0.000 0.250 0.875
0.000 0.750 0.125
0.500 0.250 0.625
0.500 0.750 0.375
0.000 0.000 0.000
0.000 0.500 0.000
0.250 0.250 0.750
0.250 0.750 0.250
0.500 0.000 0.500
0.500 0.500 0.500
0.750 0.250 0.750
0.750 0.750 0.250